# 1
CuTcHg: optimized geometry, PBEsol.

Structure (POSCAR):
```
CuTcHg
1.0
2.7357 0.0000 0.0000
0.0000 2.7357 0.0000
-1.3678 -1.3678 6.0110
Tc Hg Cu
1 1 1
Cartesian
0.0000 0.0000 4.1604
1.3678 1.3678 1.9476
1.3678 1.3678 5.9139
```

Energy of formation from the pure elements, meV per atom: 434
VASP energy, eV/cell: -14.864


# 2
Tl2Pb2I: optimized geometry, PBEsol.

Structure (POSCAR):
```
Tl2Pb2I
1.0
4.3619 0.0000 0.0000
0.0000 4.3619 0.0000
-2.1810 -2.1810 8.3372
Pb Tl I
2 2 1
Cartesian
2.1810 2.1810 1.7031
0.0000 0.0000 6.6342
0.0000 2.1810 4.1686
2.1810 0.0000 4.1686
0.0000 0.0000 0.0000
```

Formation energy without anion corrections, eV per atom: 0.03
ΔE to the lowest computed polymorph, kJ/mol of formula units: 27
VASP energy, eV/cell: -14.898


# 3
Al2Mo: optimized geometry, PBEsol.

Structure (POSCAR):
```
Al2Mo
1.0
-0.9100 -3.5454 -0.1986
3.2683 -0.9180 1.4117
-0.9153 -0.1466 6.8113
Al Mo
4 2
Cartesian
2.6800 -1.7601 2.2260
-1.2370 -2.8498 5.7984
0.1206 -1.1877 3.7361
1.3224 -3.4222 4.2883
0.4613 -3.0579 1.7312
0.9817 -1.5520 6.2932
```

Energy of formation from the pure elements, meV per atom: -267
VASP energy, eV/cell: -41.505


Number 1: Fermi-level density of states 1.9 states/eV per cell. Number 2: Fermi-level density of states 2.6 states/eV per cell. Number 3: Fermi-level density of states 2.0 states/eV per cell.